Below is an optimized crystal structure of Pm4PrDy2Y2, with properties calculated at the GGA-PBE level.

Unit cell a=5.105 b=8.088 c=8.085 alpha=107.36 beta=90.00 gamma=108.40
Element x y z (fractional)
Pm (0.777, 0.554, 0.668)
Pm (0.555, 0.110, 0.332)
Pm (0.445, 0.890, 0.668)
Pm (0.223, 0.446, 0.332)
Pr (0.000, 0.000, 0.000)
Y (0.112, 0.223, 0.667)
Y (0.888, 0.777, 0.333)
Dy (0.332, 0.664, 0.000)
Dy (0.668, 0.336, 0.000)

Properties
magnetization	0.000	μB per formula unit
crystal system	monoclinic
ΔE_f	0.02	eV per atom
uncorrected energy	-5.085	eV per atom
symmetry	No. 12

=====

Below is an optimized crystal structure of PbI, with properties calculated at the GGA-PBE level.

Unit cell a=10.310 b=10.310 c=10.310 alpha=90.00 beta=90.00 gamma=90.00
Element x y z (fractional)
Pb (0.616, 0.616, 0.384)
Pb (0.384, 0.384, 0.384)
Pb (0.384, 0.616, 0.616)
Pb (0.884, 0.116, 0.116)
Pb (0.116, 0.116, 0.884)
Pb (0.116, 0.884, 0.116)
Pb (0.884, 0.884, 0.884)
Pb (0.616, 0.384, 0.616)
I (0.306, 0.694, 0.306)
I (0.194, 0.806, 0.806)
I (0.194, 0.194, 0.194)
I (0.806, 0.194, 0.806)
I (0.694, 0.306, 0.306)
I (0.306, 0.306, 0.694)
I (0.806, 0.806, 0.194)
I (0.694, 0.694, 0.694)

Properties
magnetization	0.000	μB per formula unit
energy relative to the elements, uncorrected	-0.2	eV per formula unit
crystal system	cubic
uncorrected energy	-2.740	eV per atom
symmetry	No. 217

=====

Below is an optimized crystal structure of TbPr3Nd2As6, with properties calculated at the GGA-PBE level.

Unit cell a=4.271 b=8.536 c=9.544 alpha=102.93 beta=102.93 gamma=90.00
Element x y z (fractional)
As (0.000, 0.243, 0.000)
As (0.333, 0.418, 0.666)
As (0.336, 0.917, 0.672)
As (0.664, 0.083, 0.328)
As (0.000, 0.757, 0.000)
As (0.667, 0.582, 0.334)
Tb (0.500, 0.000, 0.000)
Nd (0.166, 0.332, 0.332)
Nd (0.834, 0.668, 0.668)
Pr (0.167, 0.834, 0.334)
Pr (0.500, 0.500, 0.000)
Pr (0.833, 0.166, 0.666)

Properties
magnetization	0.000	μB per formula unit
crystal system	monoclinic
ΔE_f	-1.51	eV per atom
uncorrected energy	-6.206	eV per atom
symmetry	No. 12

=====

Below is an optimized crystal structure of NaInBr3, with properties calculated at the GGA-PBE level.

Unit cell a=5.593 b=5.593 c=5.593 alpha=90.00 beta=90.00 gamma=90.00
Element x y z (fractional)
In (0.500, 0.500, 0.500)
Br (0.000, 0.000, 0.500)
Br (0.500, 0.000, 0.000)
Br (0.000, 0.500, 0.000)
Na (0.000, 0.000, 0.000)

Properties
magnetization	1.000	μB per formula unit
energy relative to the elements, uncorrected	-3.1	eV per formula unit
crystal system	cubic
uncorrected energy	-2.426	eV per atom
symmetry	No. 221

=====

Below is an optimized crystal structure of Pm7TlSn2, with properties calculated at the GGA-PBE level.

Unit cell a=5.420 b=5.420 c=12.913 alpha=90.00 beta=90.00 gamma=120.00
Element x y z (fractional)
Sn (0.333, 0.667, 0.700)
Sn (0.667, 0.333, 0.353)
Pm (0.667, 0.333, 0.848)
Pm (0.333, 0.667, 0.437)
Pm (0.000, 0.000, 0.266)
Pm (0.333, 0.667, 0.972)
Pm (0.000, 0.000, 0.731)
Pm (0.667, 0.333, 0.592)
Pm (0.667, 0.333, 0.114)
Tl (0.000, 0.000, 0.001)

Properties
magnetization	0.783	μB per formula unit
crystal system	trigonal
ΔE_f	-0.28	eV per atom
uncorrected energy	-4.647	eV per atom
symmetry	No. 156

=====

Below is an optimized crystal structure of Pm2NdSm, with properties calculated at the GGA-PBE level.

Unit cell a=5.802 b=5.802 c=5.802 alpha=60.00 beta=60.00 gamma=60.00
Element x y z (fractional)
Pm (0.750, 0.750, 0.750)
Pm (0.250, 0.250, 0.250)
Sm (0.500, 0.500, 0.500)
Nd (0.000, 0.000, 0.000)

Properties
magnetization	0.003	μB per formula unit
crystal system	cubic
polymorph energy (0 for the lowest one)	127.1	meV/atom
ΔE_f	0.14	eV per atom
uncorrected energy	-4.608	eV per atom
symmetry	No. 225

=====

Below is an optimized crystal structure of LuNi2Ag, with properties calculated at the GGA-PBE level.

Unit cell a=4.469 b=4.469 c=4.469 alpha=60.00 beta=60.00 gamma=60.00
Element x y z (fractional)
Ni (0.750, 0.750, 0.750)
Ni (0.250, 0.250, 0.250)
Lu (0.000, 0.000, 0.000)
Ag (0.500, 0.500, 0.500)

Properties
magnetization	0.000	μB per formula unit
crystal system	cubic
polymorph energy (0 for the lowest one)	52.9	meV/atom
ΔE_f	-0.21	eV per atom
uncorrected energy	-4.940	eV per atom
symmetry	No. 225

=====

Below is an optimized crystal structure of SrCd2W, with properties calculated at the GGA-PBE level.

Unit cell a=5.729 b=5.729 c=5.614 alpha=76.54 beta=76.54 gamma=30.70
Element x y z (fractional)
Cd (0.738, 0.738, 0.747)
Cd (0.997, 0.997, 0.036)
W (0.263, 0.263, 0.200)
Sr (0.502, 0.502, 0.516)

Properties
magnetization	0.001	μB per formula unit
crystal system	monoclinic
polymorph energy (0 for the lowest one)	169.0	meV/atom
ΔE_f	0.72	eV per atom
uncorrected energy	-3.393	eV per atom
symmetry	No. 8

=====

Below is an optimized crystal structure of TlCdSiCl2, with properties calculated at the GGA-PBE level.

Unit cell a=4.987 b=5.695 c=4.987 alpha=90.00 beta=90.00 gamma=90.00
Element x y z (fractional)
Cl (0.500, 0.000, 0.000)
Cl (0.000, 0.000, 0.500)
Tl (0.000, 0.500, 0.000)
Cd (0.500, 0.500, 0.500)
Si (0.000, 0.000, 0.000)

Properties
magnetization	0.000	μB per formula unit
energy relative to the elements, uncorrected	-1.1	eV per formula unit
crystal system	tetragonal
uncorrected energy	-2.693	eV per atom
symmetry	No. 123

=====

Below is an optimized crystal structure of Ba6As2I3Cl, with properties calculated at the GGA-PBE level.

Unit cell a=8.295 b=8.295 c=8.687 alpha=99.14 beta=99.14 gamma=119.94
Element x y z (fractional)
Ba (0.415, 0.071, 0.214)
Ba (0.071, 0.415, 0.214)
Ba (0.727, 0.727, 0.212)
Ba (0.585, 0.929, 0.786)
Ba (0.929, 0.585, 0.786)
Ba (0.273, 0.273, 0.788)
I (0.165, 0.835, 0.500)
I (0.500, 0.500, 0.500)
I (0.835, 0.165, 0.500)
As (0.333, 0.667, 0.000)
As (0.667, 0.333, 0.000)
Cl (0.000, 0.000, 0.000)

Properties
magnetization	0.000	μB per formula unit
energy relative to the elements, uncorrected	-18.2	eV per formula unit
crystal system	monoclinic
uncorrected energy	-3.796	eV per atom
symmetry	No. 12

=====

Below is an optimized crystal structure of Y2Zn2Ag, with properties calculated at the GGA-PBE level.

Unit cell a=4.566 b=5.620 c=9.835 alpha=81.89 beta=76.58 gamma=66.03
Element x y z (fractional)
Ag (0.776, 0.101, 0.347)
Ag (0.224, 0.899, 0.653)
Zn (0.020, 0.850, 0.110)
Zn (0.980, 0.150, 0.890)
Zn (0.864, 0.704, 0.568)
Zn (0.136, 0.296, 0.432)
Y (0.692, 0.722, 0.893)
Y (0.308, 0.278, 0.107)
Y (0.511, 0.307, 0.670)
Y (0.489, 0.693, 0.330)

Properties
magnetization	0.000	μB per formula unit
crystal system	monoclinic
polymorph energy (0 for the lowest one)	0.0	meV/atom
ΔE_f	-0.32	eV per atom
uncorrected energy	-3.981	eV per atom
symmetry	No. 12

=====

Below is an optimized crystal structure of PmEuInGe, with properties calculated at the GGA-PBE level.

Unit cell a=5.362 b=5.362 c=5.362 alpha=60.00 beta=60.00 gamma=60.00
Element x y z (fractional)
Pm (0.000, 0.000, 0.000)
In (0.250, 0.250, 0.250)
Eu (0.500, 0.500, 0.500)
Ge (0.750, 0.750, 0.750)

Properties
magnetization	7.079	μB per formula unit
crystal system	cubic
ΔE_f	-0.48	eV per atom
uncorrected energy	-6.072	eV per atom
symmetry	No. 216

=====

Below is an optimized crystal structure of Nd3ErAg3, with properties calculated at the GGA-PBE level.

Unit cell a=7.435 b=7.435 c=7.173 alpha=90.83 beta=90.83 gamma=94.19
Element x y z (fractional)
Nd (0.273, 0.727, 0.000)
Nd (0.358, 0.358, 0.626)
Nd (0.727, 0.273, 0.000)
Nd (0.642, 0.642, 0.374)
Nd (0.822, 0.178, 0.500)
Nd (0.178, 0.822, 0.500)
Ag (0.068, 0.068, 0.823)
Ag (0.932, 0.932, 0.177)
Ag (0.510, 0.009, 0.271)
Ag (0.991, 0.490, 0.729)
Ag (0.009, 0.510, 0.271)
Ag (0.490, 0.991, 0.729)
Er (0.749, 0.749, 0.866)
Er (0.251, 0.251, 0.134)

Properties
magnetization	0.000	μB per formula unit
crystal system	monoclinic
ΔE_f	-0.12	eV per atom
uncorrected energy	-4.035	eV per atom
symmetry	No. 12

=====

Below is an optimized crystal structure of MgMnSe3, with properties calculated at the GGA-PBE level.

Unit cell a=4.755 b=4.755 c=4.755 alpha=90.00 beta=90.00 gamma=90.00
Element x y z (fractional)
Mg (0.500, 0.500, 0.500)
Se (0.500, 0.000, 0.000)
Se (0.000, 0.500, 0.000)
Se (0.000, 0.000, 0.500)
Mn (0.000, 0.000, 0.000)

Properties
magnetization	0.007	μB per formula unit
energy relative to the elements, uncorrected	0.5	eV per formula unit
crystal system	cubic
polymorph energy (0 for the lowest one)	0.0	meV/atom
uncorrected energy	-4.151	eV per atom
symmetry	No. 221

=====

Below is an optimized crystal structure of Ba2BAsPt6, with properties calculated at the GGA-PBE level.

Unit cell a=6.323 b=6.920 c=6.962 alpha=52.84 beta=63.24 gamma=89.72
Element x y z (fractional)
B (0.500, 0.500, 0.000)
Ba (0.713, 0.284, 0.572)
Ba (0.287, 0.716, 0.428)
Pt (0.263, 0.191, 0.473)
Pt (0.739, 0.264, 0.073)
Pt (0.737, 0.809, 0.527)
Pt (0.261, 0.736, 0.927)
Pt (0.814, 0.738, 0.924)
Pt (0.186, 0.262, 0.076)
As (0.000, 0.000, 0.000)

Properties
magnetization	0.000	μB per formula unit
crystal system	triclinic
ΔE_f	-0.60	eV per atom
uncorrected energy	-5.745	eV per atom
symmetry	No. 2

=====

Below is an optimized crystal structure of MgSc5Ir4, with properties calculated at the GGA-PBE level.

Unit cell a=3.246 b=3.246 c=17.141 alpha=90.00 beta=90.00 gamma=90.00
Element x y z (fractional)
Sc (0.500, 0.500, 0.500)
Sc (0.500, 0.500, 0.689)
Sc (0.500, 0.500, 0.875)
Sc (0.500, 0.500, 0.311)
Sc (0.500, 0.500, 0.125)
Ir (0.000, 0.000, 0.786)
Ir (0.000, 0.000, 0.214)
Ir (0.000, 0.000, 0.405)
Ir (0.000, 0.000, 0.595)
Mg (0.000, 0.000, 0.000)

Properties
magnetization	0.000	μB per formula unit
crystal system	tetragonal
ΔE_f	-0.83	eV per atom
uncorrected energy	-7.703	eV per atom
symmetry	No. 123

=====

Below is an optimized crystal structure of K5ScS4, with properties calculated at the GGA-PBE level.

Unit cell a=4.337 b=8.067 c=9.700 alpha=114.57 beta=102.92 gamma=90.00
Element x y z (fractional)
S (0.000, 0.785, 0.000)
S (0.000, 0.215, 0.000)
S (0.336, 0.837, 0.673)
S (0.664, 0.163, 0.327)
K (0.171, 0.422, 0.342)
K (0.829, 0.578, 0.658)
K (0.171, 0.917, 0.342)
K (0.500, 0.500, 0.000)
K (0.829, 0.083, 0.658)
Sc (0.500, 0.000, 0.000)

Properties
magnetization	0.000	μB per formula unit
energy relative to the elements, uncorrected	-11.5	eV per formula unit
crystal system	monoclinic
uncorrected energy	-3.980	eV per atom
symmetry	No. 12

=====

Below is an optimized crystal structure of Cu2ReSb, with properties calculated at the GGA-PBE level.

Unit cell a=5.060 b=5.060 c=4.418 alpha=72.52 beta=72.52 gamma=35.35
Element x y z (fractional)
Cu (0.005, 0.005, 0.985)
Cu (0.495, 0.495, 0.515)
Re (0.750, 0.750, 0.750)
Sb (0.250, 0.250, 0.250)

Properties
magnetization	0.000	μB per formula unit
energy relative to the elements, uncorrected	2.0	eV per formula unit
crystal system	monoclinic
uncorrected energy	-5.702	eV per atom
symmetry	No. 12

=====

Below is an optimized crystal structure of KTi2Tc, with properties calculated at the GGA-PBE level.

Unit cell a=4.715 b=4.715 c=4.715 alpha=60.00 beta=60.00 gamma=60.00
Element x y z (fractional)
K (0.000, 0.000, 0.000)
Tc (0.500, 0.500, 0.500)
Ti (0.250, 0.250, 0.250)
Ti (0.750, 0.750, 0.750)

Properties
magnetization	0.000	μB per formula unit
crystal system	cubic
polymorph energy (0 for the lowest one)	0.0	meV/atom
ΔE_f	0.94	eV per atom
uncorrected energy	-5.878	eV per atom
symmetry	No. 225

=====

Below is an optimized crystal structure of NpAs2Pd3, with properties calculated at the GGA-PBE level.

Unit cell a=4.054 b=8.629 c=10.091 alpha=106.96 beta=90.00 gamma=103.59
Element x y z (fractional)
Pd (0.500, 0.000, 0.500)
Pd (0.783, 0.565, 0.604)
Pd (0.318, 0.636, 0.027)
Pd (0.961, 0.922, 0.669)
Pd (0.217, 0.435, 0.396)
Pd (0.039, 0.078, 0.331)
Pd (0.376, 0.752, 0.793)
Pd (0.682, 0.364, 0.973)
Pd (0.624, 0.248, 0.207)
As (0.636, 0.273, 0.463)
As (0.458, 0.916, 0.204)
As (0.801, 0.602, 0.864)
As (0.199, 0.398, 0.136)
As (0.542, 0.084, 0.796)
As (0.364, 0.727, 0.537)
Np (0.157, 0.313, 0.704)
Np (0.843, 0.687, 0.296)
Np (0.000, 0.000, 0.000)

Properties
magnetization	3.994	μB per formula unit
crystal system	monoclinic
polymorph energy (0 for the lowest one)	0.0	meV/atom
ΔE_f	-0.50	eV per atom
uncorrected energy	-6.807	eV per atom
symmetry	No. 12